Record 1
Li11Mo12O24 | GGA-PBEsol | relaxed

Its density of states at the Fermi level is 0.28 states/eV per atom. The calculation puts the total energy at -382.54 eV per cell. As for the raw formation energy: -1.99 eV/atom. The calculation puts the volume at 435.3 Å³/f.u. Its crystal system is triclinic.

Cell: 6.7503 7.8393 8.8838 Å, 107.82 103.23 83.69°
Fractional positions:
1 O 0.9444 0.0776 0.8011
2 O 0.1991 0.0757 0.5385
3 O 0.6117 0.7445 0.1369
4 O 0.5273 0.9057 0.7207
5 O 0.0556 0.9224 0.1989
6 O 0.8062 0.4271 0.9470
7 O 0.0530 0.4271 0.7164
8 O 0.7130 0.0967 0.0515
9 O 0.8624 0.7346 0.8684
10 O 0.1376 0.2654 0.1316
11 O 0.1406 0.7603 0.6152
12 O 0.6132 0.2380 0.6150
13 O 0.7223 0.5900 0.5304
14 O 0.1938 0.5729 0.0530
15 O 0.9470 0.5729 0.2836
16 O 0.3883 0.2555 0.8631
17 O 0.4727 0.0943 0.2793
18 O 0.8009 0.9243 0.4615
19 O 0.8594 0.2397 0.3848
20 O 0.3868 0.7620 0.3850
21 O 0.2777 0.4100 0.4696
22 O 0.5305 0.4101 0.2039
23 O 0.2870 0.9033 0.9485
24 O 0.4695 0.5899 0.7961
25 Mo 0.4308 0.6480 0.5770
26 Mo 0.7429 0.4859 0.7229
27 Mo 0.9039 0.6863 0.0910
28 Mo 0.5692 0.3520 0.4230
29 Mo 0.4071 0.1533 0.0561
30 Mo 0.5930 0.8467 0.9439
31 Mo 0.0765 0.8211 0.3910
32 Mo 0.2571 0.5141 0.2771
33 Mo 0.2348 0.0183 0.7588
34 Mo 0.9235 0.1789 0.6090
35 Mo 0.0961 0.3137 0.9090
36 Mo 0.7652 0.9817 0.2412
37 Li 0.6757 0.1623 0.8419
38 Li 0.8353 0.8377 0.6793
39 Li 0.6669 0.6683 0.3341
40 Li 0.0000 0.5000 0.5000
41 Li 0.5000 0.0000 0.5000
42 Li 0.3331 0.3317 0.6659
43 Li 0.1647 0.1623 0.3207
44 Li 0.3243 0.8377 0.1581
45 Li 0.8430 0.3250 0.1616
46 Li 0.1570 0.6750 0.8384
47 Li 0.5000 0.5000 0.0000

***

Record 2
AlAuI2O | GGA-PBEsol | relaxed

Its density of states at the Fermi level is 0.60 states/eV per atom. The calculation puts the total energy at -15.76 eV per cell. As for the raw formation energy: 0.21 eV/atom. The calculation puts the volume at 128.1 Å³/f.u. Its crystal system is tetragonal.

Cell: 3.9475 5.6972 5.6972 Å, 90.00 90.00 90.00°
Site moments in Bohr magnetons follow the coordinates.
Fractional positions:
1 I 0.0000 0.5000 0.0000  0.01
2 I 0.0000 0.0000 0.5000  0.01
3 O 0.5000 0.0000 0.0000  0.34
4 Al 0.5000 0.5000 0.5000  0.00
5 Au 0.0000 0.0000 0.0000  0.15